The following is a DFT calculation (PBE with a Hubbard U) of a relaxed structure of MnOF.

Structure (CIF):
```
data_MnOF
_cell_length_a 4.682
_cell_length_b 5.723
_cell_length_c 10.408
_cell_angle_alpha 95.17
_cell_angle_beta 91.93
_cell_angle_gamma 94.36
_space_group_name_H-M_alt 'P -1'
_space_group_IT_number 2
_space_group_name_Hall '-P 1'
loop_
_atom_site_label
_atom_site_type_symbol
_atom_site_fract_x
_atom_site_fract_y
_atom_site_fract_z
_atom_site_occupancy
Mn1 Mn 0.000 0.000 0.000 1
Mn2 Mn 0.000 0.500 0.500 1
Mn3 Mn 0.024 0.253 0.761 1
Mn4 Mn 0.475 0.255 0.262 1
Mn5 Mn 0.500 0.000 0.500 1
Mn6 Mn 0.500 0.500 0.000 1
O1 O 0.200 0.006 0.170 1
O2 O 0.208 0.513 0.671 1
O3 O 0.221 0.261 0.927 1
O4 O 0.302 0.249 0.427 1
F1 F 0.217 0.758 0.402 1
F2 F 0.278 0.010 0.660 1
F3 F 0.287 0.517 0.165 1
F4 F 0.310 0.756 0.904 1
```

Calculated values
electronic total energy = -6.714 eV per atom